Entry from the Alexandria database: SrVCl2 after structural relaxation (GGA-PBE).

Cell lengths 7.6767, 7.6767, 7.6767 Å; angles 35.14, 35.14, 35.14 degrees
Positions (direct):
Cl  0.1119  0.1119  0.1119
Sr  0.5000  0.5000  0.5000
V  0.0000  0.0000  0.0000
Cl  0.8881  0.8881  0.8881

Computed properties:
Formation energy from raw total energies   -3.301 eV/f.u.
Total magnetization   4.0 Bohr magnetons per cell
Energy relative to the lowest polymorph listed for this composition   0 meV per atom
N(E_F)   0.6097 states/eV per atom